# 1
Here is crystalline Ac2SmUN4 at its relaxed geometry from the Alexandria database. Energies are from PBE-GGA.

The space group is P2/m (No. 10) and the conventional cell measures 6.2444, 3.6458 and 6.5108 Å, with angles of 90.00, 108.60 and 90.00 degrees. The distinct sites, in fractional coordinates, are Ac at (0.0000, 0.0000, 0.0000), Ac at (0.5000, 0.5000, 0.0000), Sm at (0.0000, 0.5000, 0.5000), U at (0.5000, 0.0000, 0.5000), N at (0.2706, 0.0000, 0.6980) and N at (0.2918, 0.5000, 0.3068).

The uncorrected formation energy comes out at -1.275 eV per atom. For the total magnetization, the calculation gives 0.0 μB/cell.



# 2
Here is crystalline Nd4SeS2 at its relaxed geometry from the Alexandria database. Energies are from PBE-GGA.

The space group is R-3m (No. 166, hexagonal axes) and the conventional cell measures 4.7739, 4.7739 and 32.1926 Å, with angles of 90.00, 90.00 and 120.00 degrees. The distinct sites, in fractional coordinates, are Nd at (0.0000, 0.0000, 0.1232), Nd at (0.0000, 0.0000, 0.2953), Se at (0.0000, 0.0000, 0.0000) and S at (0.0000, 0.0000, 0.2100).

The uncorrected formation energy comes out at -1.395 eV per atom. For the total magnetization, the calculation gives 0.0 μB/cell.



# 3
Here is crystalline CsIn2AsS at its relaxed geometry from the Alexandria database. Energies are from PBE-GGA.

The space group is P4/mmm (No. 123) and the conventional cell measures 6.7475, 6.7475 and 5.4278 Å, with angles of 90.00, 90.00 and 90.00 degrees. The distinct sites, in fractional coordinates, are Cs at (0.0000, 0.0000, 0.0000), In at (0.0000, 0.5000, 0.0000), As at (0.5000, 0.5000, 0.5000) and S at (0.0000, 0.0000, 0.5000).

The uncorrected formation energy comes out at 1.056 eV per atom. For the total magnetization, the calculation gives 1.4 μB/cell.



# 4
Here is crystalline MgGeI3 at its relaxed geometry from the Alexandria database. Energies are from PBE-GGA.

The space group is Pm-3m (No. 221) and the conventional cell measures 5.6767, 5.6767 and 5.6767 Å, with angles of 90.00, 90.00 and 90.00 degrees. The distinct sites, in fractional coordinates, are Mg at (0.0000, 0.0000, 0.0000), Ge at (0.5000, 0.5000, 0.5000) and I at (0.0000, 0.0000, 0.5000).

The uncorrected formation energy comes out at -0.109 eV per atom. For the total magnetization, the calculation gives 1.0 μB/cell.



# 5
Here is crystalline ScPb3 at its relaxed geometry from the Alexandria database. Energies are from PBE-GGA.

The space group is Fm-3m (No. 225) and the conventional cell measures 7.7301, 7.7301 and 7.7301 Å, with angles of 90.00, 90.00 and 90.00 degrees. The distinct sites, in fractional coordinates, are Sc at (0.0000, 0.0000, 0.0000), Pb at (0.0000, 0.0000, 0.5000) and Pb at (0.2500, 0.2500, 0.2500).

The calculation puts the formation energy from the elements at 0.03 eV/f.u. For the total magnetization, the calculation gives 0.0 μB/cell.



# 6
Here is crystalline In2OsW at its relaxed geometry from the Alexandria database. Energies are from PBE-GGA.

The space group is I-42d (No. 122) and the conventional cell measures 7.5928, 7.5928 and 5.4898 Å, with angles of 90.00, 90.00 and 90.00 degrees. The distinct sites, in fractional coordinates, are In at (0.2335, 0.2500, 0.1250), Os at (0.0000, 0.0000, 0.0000) and W at (0.0000, 0.0000, 0.5000).

The calculation puts the formation energy from the elements at 4.78 eV/f.u. For the total magnetization, the calculation gives 0.0 μB/cell.



# 7
Here is crystalline CrWAu at its relaxed geometry from the Alexandria database. Energies are from PBE-GGA.

The space group is I4mm (No. 107) and the conventional cell measures 2.7863, 2.7863 and 12.2859 Å, with angles of 90.00, 90.00 and 90.00 degrees. The distinct sites, in fractional coordinates, are Cr at (0.0000, 0.0000, 0.0000), W at (0.0000, 0.0000, 0.3462) and Au at (0.0000, 0.0000, 0.6697).

The calculation puts the formation energy from the elements at 1.21 eV/f.u. For the total magnetization, the calculation gives 5.4 μB/cell.



# 8
Here is crystalline AlBPd3 at its relaxed geometry from the Alexandria database. Energies are from PBE-GGA.

The space group is Pm-3m (No. 221) and the conventional cell measures 4.1561, 4.1561 and 4.1561 Å, with angles of 90.00, 90.00 and 90.00 degrees. The distinct sites, in fractional coordinates, are Al at (0.0000, 0.0000, 0.0000), B at (0.5000, 0.5000, 0.5000) and Pd at (0.0000, 0.5000, 0.5000).

The calculation puts the formation energy from the elements at -1.65 eV/f.u. For the total magnetization, the calculation gives 0.0 μB/cell.



# 9
Here is crystalline Cr2RuW at its relaxed geometry from the Alexandria database. Energies are from PBE-GGA.

The space group is P4/mmm (No. 123) and the conventional cell measures 3.8201, 3.8201 and 3.7252 Å, with angles of 90.00, 90.00 and 90.00 degrees. The distinct sites, in fractional coordinates, are Cr at (0.0000, 0.5000, 0.0000), Ru at (0.0000, 0.0000, 0.5000) and W at (0.5000, 0.5000, 0.5000).

The calculation puts the formation energy from the elements at 0.98 eV/f.u. For the total magnetization, the calculation gives 0.0 μB/cell.



# 10
Here is crystalline LaSi at its relaxed geometry from the Alexandria database. Energies are from PBE-GGA.

The space group is Cmcm (No. 63) and the conventional cell measures 4.5717, 13.4376 and 6.6424 Å, with angles of 90.00, 90.00 and 90.00 degrees. The distinct sites, in fractional coordinates, are La at (0.0000, 0.0520, 0.2500), La at (0.0000, 0.2253, 0.7500) and Si at (0.0000, 0.4086, 0.0631).

The uncorrected formation energy comes out at -0.756 eV per atom. For the total magnetization, the calculation gives 0.0 μB/cell.



# 11
Here is crystalline Ta2CrHOs at its relaxed geometry from the Alexandria database. Energies are from PBE-GGA.

The space group is P4/mmm (No. 123) and the conventional cell measures 4.4104, 4.4104 and 3.3137 Å, with angles of 90.00, 90.00 and 90.00 degrees. The distinct sites, in fractional coordinates, are Ta at (0.0000, 0.5000, 0.0000), Cr at (0.0000, 0.0000, 0.5000), H at (0.0000, 0.0000, 0.0000) and Os at (0.5000, 0.5000, 0.5000).

Its energy is -48.57 eV per cell. For the total magnetization, the calculation gives 0.0 μB/cell.



# 12
Here is crystalline LiTaCo2 at its relaxed geometry from the Alexandria database. Energies are from PBE-GGA.

The space group is F-43m (No. 216) and the conventional cell measures 5.8614, 5.8614 and 5.8614 Å, with angles of 90.00, 90.00 and 90.00 degrees. The distinct sites, in fractional coordinates, are Li at (0.0000, 0.0000, 0.0000), Ta at (0.2500, 0.2500, 0.2500), Co at (0.0000, 0.0000, 0.5000) and Co at (0.2500, 0.2500, 0.7500).

The calculation puts the formation energy from the elements at 0.91 eV/f.u. For the total magnetization, the calculation gives 10.2 μB/cell.